First-principles (PBE-GGA) data for crystalline Pt5Rh2Au at its relaxed geometry, as listed in the Alexandria database.

Cell: 6.766 9.436 11.455 Å, 116.00 72.62 69.11°
Element x y z (fractional)
1 Pt 0.937 0.929 0.085
2 Pt 0.235 0.116 0.574
3 Pt 0.780 0.185 0.605
4 Pt 0.370 0.212 0.259
5 Pt 0.840 0.287 0.239
6 Pt 0.204 0.300 0.071
7 Pt 0.577 0.198 0.427
8 Pt 0.952 0.570 0.415
9 Pt 0.078 0.613 0.072
10 Pt 0.576 0.313 0.895
11 Pt 0.424 0.687 0.105
12 Pt 0.922 0.387 0.928
13 Pt 0.048 0.430 0.585
14 Pt 0.423 0.802 0.573
15 Pt 0.796 0.700 0.929
16 Pt 0.160 0.713 0.761
17 Pt 0.630 0.788 0.741
18 Pt 0.220 0.815 0.395
19 Pt 0.765 0.884 0.426
20 Pt 0.063 0.071 0.915
21 Rh 0.415 0.107 0.756
22 Rh 0.678 0.031 0.960
23 Rh 0.668 0.470 0.539
24 Rh 0.724 0.605 0.257
25 Rh 0.276 0.395 0.743
26 Rh 0.332 0.530 0.461
27 Rh 0.322 0.969 0.040
28 Rh 0.585 0.893 0.244
29 Au 0.079 0.079 0.329
30 Au 0.479 0.426 0.174
31 Au 0.521 0.574 0.826
32 Au 0.921 0.921 0.671

Summary:
ΔH_f (0 K) (eV per atom): 0.1694
N(E_F) (states/eV per atom): 1.72
Symmetry: P-1


First-principles (PBE-GGA) data for crystalline Pt2RhAu at its relaxed geometry, as listed in the Alexandria database.

Cell: 2.810 2.810 8.058 Å, 90.00 90.00 90.00°
Element x y z (fractional)
1 Rh 0.500 0.500 0.250
2 Au 0.500 0.500 0.750
3 Pt 0.000 0.000 0.015
4 Pt 0.000 0.000 0.485

Summary:
ΔH_f (0 K) (eV per atom): 0.0335
N(E_F) (states/eV per atom): 1.59
Symmetry: P4/mmm


First-principles (PBE-GGA) data for crystalline Pt6RhAu at its relaxed geometry, as listed in the Alexandria database.

Cell: 3.989 3.989 7.938 Å, 90.00 90.00 90.00°
Element x y z (fractional)
1 Pt 0.500 0.500 0.000
2 Pt 0.500 0.500 0.500
3 Pt 0.500 0.000 0.257
4 Pt 0.500 0.000 0.743
5 Pt 0.000 0.500 0.257
6 Pt 0.000 0.500 0.743
7 Rh 0.000 0.000 0.500
8 Au 0.000 0.000 0.000

Summary:
ΔH_f (0 K) (eV per atom): 0.0213
N(E_F) (states/eV per atom): 1.65
Symmetry: P4/mmm
Relative energy among the computed polymorphs (eV/f.u.): 0.00


First-principles (PBE-GGA) data for crystalline Pt2RhAu at its relaxed geometry, as listed in the Alexandria database.

Cell: 2.820 3.921 5.750 Å, 90.00 90.00 90.00°
Element x y z (fractional)
1 Rh 0.500 0.500 0.250
2 Au 0.500 0.500 0.750
3 Pt 0.000 0.000 0.014
4 Pt 0.000 0.000 0.486

Summary:
ΔH_f (0 K) (eV per atom): 0.0709
N(E_F) (states/eV per atom): 1.86
Symmetry: Pmmm


First-principles (PBE-GGA) data for crystalline Pt2Rh2Au at its relaxed geometry, as listed in the Alexandria database.

Cell: 7.705 7.705 2.757 Å, 90.00 90.00 90.00°
Element x y z (fractional)
1 Rh 0.379 0.879 0.000
2 Rh 0.879 0.621 0.000
3 Rh 0.621 0.121 0.000
4 Rh 0.121 0.379 0.000
5 Au 0.000 0.000 0.000
6 Au 0.500 0.500 0.000
7 Pt 0.176 0.676 0.500
8 Pt 0.676 0.824 0.500
9 Pt 0.824 0.324 0.500
10 Pt 0.324 0.176 0.500

Summary:
ΔH_f (0 K) (eV per atom): 0.2154
N(E_F) (states/eV per atom): 1.67
Symmetry: P4/mbm


First-principles (PBE-GGA) data for crystalline Pt6RhAu at its relaxed geometry, as listed in the Alexandria database.

Cell: 3.977 4.885 7.433 Å, 77.20 74.48 65.98°
Element x y z (fractional)
1 Pt 0.248 0.876 0.629
2 Pt 0.501 0.241 0.756
3 Pt 0.250 0.378 0.122
4 Pt 0.499 0.759 0.244
5 Pt 0.752 0.124 0.371
6 Pt 0.750 0.622 0.878
7 Rh 0.000 0.000 0.000
8 Au 0.000 0.500 0.500

Summary:
ΔH_f (0 K) (eV per atom): 0.0253
N(E_F) (states/eV per atom): 2.01
Symmetry: C2/m
Relative energy among the computed polymorphs (eV/f.u.): 0.03


First-principles (PBE-GGA) data for crystalline Pt2RhAu at its relaxed geometry, as listed in the Alexandria database.

Cell: 4.868 4.868 4.912 Å, 80.19 80.19 33.63°
Element x y z (fractional)
1 Rh 0.496 0.496 0.510
2 Au 0.249 0.249 0.251
3 Pt 0.004 0.004 0.994
4 Pt 0.752 0.752 0.745

Summary:
ΔH_f (0 K) (eV per atom): 0.0824
N(E_F) (states/eV per atom): 1.75
Symmetry: Cm


First-principles (PBE-GGA) data for crystalline Pt3RhAu at its relaxed geometry, as listed in the Alexandria database.

Cell: 4.800 4.800 4.800 Å, 90.00 90.00 90.00°
Element x y z (fractional)
1 Rh 0.000 0.000 0.000
2 Au 0.500 0.500 0.500
3 Pt 0.000 0.500 0.000
4 Pt 0.000 0.000 0.500
5 Pt 0.500 0.000 0.000

Summary:
ΔH_f (0 K) (eV per atom): 1.3857
N(E_F) (states/eV per atom): 1.39
Symmetry: Pm-3m
Relative energy among the computed polymorphs (eV/f.u.): 6.04


First-principles (PBE-GGA) data for crystalline Pt2RhAu at its relaxed geometry, as listed in the Alexandria database.

Cell: 4.777 2.782 4.826 Å, 89.41 90.00 90.00°
Element x y z (fractional)
1 Pt 0.000 0.012 0.003
2 Pt 0.500 0.249 0.255
3 Rh 0.000 0.491 0.492
4 Au 0.500 0.748 0.750

Summary:
ΔH_f (0 K) (eV per atom): 0.1306
N(E_F) (states/eV per atom): 1.21
Symmetry: Pm


First-principles (PBE-GGA) data for crystalline Pt2RhAu at its relaxed geometry, as listed in the Alexandria database.

Cell: 3.969 3.969 4.021 Å, 90.00 90.00 90.00°
Element x y z (fractional)
1 Pt 0.000 0.500 0.000
2 Pt 0.500 0.000 0.000
3 Rh 0.500 0.500 0.500
4 Au 0.000 0.000 0.500

Summary:
ΔH_f (0 K) (eV per atom): 0.0858
N(E_F) (states/eV per atom): 1.23
Symmetry: P4/mmm


First-principles (PBE-GGA) data for crystalline Pt3RhAu at its relaxed geometry, as listed in the Alexandria database.

Cell: 4.897 4.897 4.897 Å, 90.00 90.00 90.00°
Element x y z (fractional)
1 Rh 0.500 0.500 0.500
2 Au 0.000 0.000 0.000
3 Pt 0.000 0.500 0.000
4 Pt 0.000 0.000 0.500
5 Pt 0.500 0.000 0.000

Summary:
ΔH_f (0 K) (eV per atom): 1.7963
N(E_F) (states/eV per atom): 1.87
Symmetry: Pm-3m
Relative energy among the computed polymorphs (eV/f.u.): 8.09


First-principles (PBE-GGA) data for crystalline Pt2RhAu at its relaxed geometry, as listed in the Alexandria database.

Cell: 5.554 5.554 5.554 Å, 151.08 128.54 60.11°
Element x y z (fractional)
1 Pt 0.007 0.007 0.000
2 Pt 0.253 0.753 0.500
3 Rh 0.492 0.492 0.000
4 Au 0.748 0.248 0.500

Summary:
ΔH_f (0 K) (eV per atom): 0.1214
N(E_F) (states/eV per atom): 1.23
Symmetry: Imm2